No. 1
DFT (GGA-PBE) results for an optimized crystal structure of Cs2NpTl3O6.

Structure (extended XYZ):
```
12
Lattice="3.518 -6.561 0.000 3.518 6.561 0.000 -2.223 0.000 6.078" Properties=species:S:1:pos:R:3 pbc="T T T"
Cs 3.518 4.250 0.000
Cs 3.518 -4.250 0.000
Np 3.518 0.000 0.000
Tl -1.111 0.000 3.039
Tl 2.407 1.787 3.039
Tl 2.407 -1.787 3.039
O 0.410 1.398 4.979
O 1.843 0.000 1.401
O 0.410 -1.398 4.979
O 4.403 1.398 1.098
O 2.970 0.000 4.676
O 4.403 -1.398 1.098
```

Properties
The calculation puts the spin magnetization at 0.00 μB per cell. The calculation puts the uncorrected formation energy at -1.685 eV per atom. For the raw total energy, the calculation gives -71.720 eV for the cell shown.


No. 2
DFT (GGA-PBE) results for an optimized crystal structure of Li2MgHIr.

Structure (extended XYZ):
```
5
Lattice="3.955 0.000 0.000 0.000 3.955 0.000 0.000 0.000 3.857" Properties=species:S:1:pos:R:3 pbc="T T T"
Li 0.000 1.977 0.000
Li 1.977 0.000 0.000
Mg 0.000 0.000 1.929
H 1.977 1.977 0.000
Ir 1.977 1.977 1.929
```

Properties
The calculation puts the spin magnetization at 0.00 μB per cell. For the raw total energy, the calculation gives -18.689 eV for the cell shown. The density of states at the Fermi level comes out at 1.2 states/eV per cell.


No. 3
DFT (GGA-PBE) results for an optimized crystal structure of MnPtCl3.

Structure (extended XYZ):
```
5
Lattice="4.919 0.000 0.000 0.000 4.919 0.000 0.000 0.000 4.919" Properties=species:S:1:pos:R:3 pbc="T T T"
Mn 0.000 0.000 0.000
Pt 2.460 2.460 2.460
Cl 0.000 2.460 2.460
Cl 2.460 0.000 2.460
Cl 2.460 2.460 0.000
```

Properties
The calculation puts the spin magnetization at 5.66 μB per cell. The calculation puts the uncorrected formation energy at 0.101 eV per atom. For the raw total energy, the calculation gives -20.247 eV for the cell shown. The density of states at the Fermi level comes out at 3.5 states/eV per cell.


No. 4
DFT (GGA-PBE) results for an optimized crystal structure of Pa2MnAlN5.

Structure (extended XYZ):
```
18
Lattice="1.665 -6.575 0.000 1.665 6.575 0.000 0.000 0.000 9.318" Properties=species:S:1:pos:R:3 pbc="T T T"
Pa 1.665 5.033 4.659
Pa 1.665 4.760 1.012
Pa 1.665 -4.760 5.671
Pa 1.665 -5.033 0.000
Mn 1.665 3.780 7.684
Mn 1.665 -3.780 3.024
Al 1.665 0.642 2.612
Al 1.665 -0.642 7.271
N 1.665 5.877 8.041
N 1.665 2.781 4.296
N 1.665 2.514 1.705
N 1.665 1.793 7.621
N 1.665 0.038 5.506
N 1.665 -0.038 0.847
N 1.665 -1.793 2.962
N 1.665 -2.514 6.364
N 1.665 -2.781 8.955
N 1.665 -5.877 3.381
```

Properties
The calculation puts the spin magnetization at 2.16 μB per cell. The calculation puts the uncorrected formation energy at -1.169 eV per atom. For the raw total energy, the calculation gives -168.109 eV for the cell shown. The density of states at the Fermi level comes out at 8.6 states/eV per cell.


No. 5
DFT (GGA-PBE) results for an optimized crystal structure of LaY2Sc.

Structure (extended XYZ):
```
4
Lattice="-1.937 2.843 5.759 1.937 -2.843 5.759 1.937 2.843 -5.759" Properties=species:S:1:pos:R:3 pbc="T T T"
La 0.000 0.000 0.000
Y 1.937 0.000 3.103
Y 0.000 2.843 2.656
Sc 0.000 0.000 5.759
```

Properties
The calculation puts the spin magnetization at 0.00 μB per cell. The calculation puts the formation energy at 0.08 eV/atom. For the raw total energy, the calculation gives -23.851 eV for the cell shown. The density of states at the Fermi level comes out at 6.8 states/eV per cell.


No. 6
DFT (GGA-PBE) results for an optimized crystal structure of RbBaCu2Cl8.

Structure (extended XYZ):
```
12
Lattice="-3.590 3.590 6.655 3.590 -3.590 6.655 3.590 3.590 -6.655" Properties=species:S:1:pos:R:3 pbc="T T T"
Rb 0.000 0.000 0.000
Ba 3.590 0.000 3.328
Cu 0.000 0.000 6.655
Cu 0.000 3.590 3.328
Cl 4.383 2.085 -3.673
Cl 3.302 1.421 0.318
Cl -0.793 1.505 2.982
Cl 2.169 -0.288 6.337
Cl 1.421 3.878 -0.318
Cl 2.085 2.797 3.673
Cl 0.288 2.169 6.973
Cl 1.505 0.793 10.328
```

Properties
The calculation puts the spin magnetization at 0.72 μB per cell. The calculation puts the uncorrected formation energy at -1.155 eV per atom. For the raw total energy, the calculation gives -39.719 eV for the cell shown. The density of states at the Fermi level comes out at 4.2 states/eV per cell.